! FeBRuO2 (PBE with a Hubbard U, relaxed); values from VASP
! Total magnetization = 3.47 Bohr magnetons per cell
! Distance to the lowest polymorph of the same formula = 0 meV/atom
&SYSTEM
  ibrav = 0, nat = 5, ntyp = 4
/
ATOMIC_SPECIES
Ru 101.07 Ru.upf
B 10.81 B.upf
Fe 55.84 Fe.upf
O 16.00 O.upf
CELL_PARAMETERS angstrom
-2.9431 1.8717 -1.1181
-0.8867 -3.7228 -3.8979
-2.0976 -1.9186 2.3096
ATOMIC_POSITIONS crystal
Ru 0.0000 0.0000 0.0000
B 0.5000 0.5000 0.5000
Fe 0.0000 0.5000 0.0000
O 0.0000 0.0000 0.5000
O 0.5000 0.0000 0.0000